(1)
Compound: ZrFe2P
Source: the Alexandria database
Functional: PBE
Structure: relaxed

Geometry as POSCAR:
```
ZrFe2P
1.0
-3.3453 3.3453 2.6328
3.3453 -3.3453 2.6328
3.3453 3.3453 -2.6328
Zr Fe P
2 4 2
direct
0.0000 0.0000 0.0000
0.7500 0.2500 0.5000
0.2061 0.1250 0.5811
0.3750 0.7939 0.9189
0.5439 0.6250 0.4189
0.8750 0.4561 0.0811
0.2500 0.7500 0.5000
0.5000 0.5000 0.0000
```

Computed properties:
crystal system = tetragonal
energy of formation = -0.10 eV/atom
space group = I-42d, No. 122

(2)
Compound: Li2CaHg
Source: the Alexandria database
Functional: PBE
Structure: relaxed

Geometry as POSCAR:
```
Li2CaHg
1.0
4.2165 0.0000 0.0000
0.0000 4.2165 0.0000
0.0000 0.0000 11.3119
Li Ca Hg
4 2 2
direct
0.2500 0.2500 0.0674
0.2500 0.7500 0.5000
0.7500 0.2500 0.5000
0.7500 0.7500 0.9326
0.2500 0.2500 0.7645
0.7500 0.7500 0.2355
0.2500 0.2500 0.3287
0.7500 0.7500 0.6713
```

Computed properties:
crystal system = tetragonal
energy of formation = -0.26 eV/atom
space group = P4/nmm, No. 129

(3)
Compound: LaHoNiRh
Source: the Alexandria database
Functional: PBE
Structure: relaxed

Geometry as POSCAR:
```
LaHoNiRh
1.0
4.2193 0.0000 0.0000
0.0000 1.9326 5.3749
0.0000 -1.9326 5.3749
La Ho Ni Rh
1 1 1 1
direct
0.0000 0.0000 0.0000
0.5000 0.7216 0.7216
0.5000 0.4340 0.4340
0.0000 0.2708 0.2708
```

Computed properties:
crystal system = orthorhombic
energy of formation = -0.60 eV/atom
space group = Amm2, No. 38

(4)
Compound: CaPm3S4
Source: the Alexandria database
Functional: PBE
Structure: relaxed

Geometry as POSCAR:
```
CaPm3S4
1.0
4.0524 -5.6952 0.0000
4.0524 5.6952 0.0000
0.0000 0.0000 4.0094
Ca Pm S
1 3 4
direct
0.0000 0.0000 0.0000
0.0000 0.5000 0.5000
0.5000 0.0000 0.5000
0.5000 0.5000 0.0000
0.2463 0.2463 0.5000
0.2472 0.7528 0.0000
0.7528 0.2472 0.0000
0.7537 0.7537 0.5000
```

Computed properties:
formation energy (no corrections) = -197 kJ/mol of atoms
crystal system = orthorhombic
space group = Cmmm, No. 65

(5)
Compound: Tl3CdPb4
Source: the Alexandria database
Functional: PBE
Structure: relaxed

Geometry as POSCAR:
```
Tl3CdPb4
1.0
7.0330 0.0000 0.0000
0.0000 7.1903 0.0000
0.0000 0.0000 9.5863
Tl Cd Pb
6 2 8
direct
0.0000 0.0066 0.0000
0.2492 0.7467 0.2470
0.2508 0.2533 0.7470
0.5000 0.9934 0.5000
0.7492 0.2533 0.7470
0.7508 0.7467 0.2470
0.0000 0.4973 0.0010
0.5000 0.5027 0.5010
0.0000 0.5042 0.5007
0.0000 0.9973 0.5009
0.2504 0.2592 0.2540
0.2496 0.7408 0.7540
0.5000 0.0027 0.0009
0.5000 0.4958 0.0007
0.7496 0.2592 0.2540
0.7504 0.7408 0.7540
```

Computed properties:
crystal system = orthorhombic
energy of formation = 0.02 eV/atom
space group = Pmn2_1, No. 31

(6)
Compound: BaCoPb2
Source: the Alexandria database
Functional: PBE
Structure: relaxed

Geometry as POSCAR:
```
BaCoPb2
1.0
-1.8359 2.2213 7.1999
1.8359 -2.2213 7.1999
1.8359 2.2213 -7.1999
Ba Co Pb
1 1 2
direct
0.0000 0.0000 0.0000
0.2184 0.7184 0.5000
0.3536 0.3536 0.0000
0.6921 0.1921 0.5000
```

Computed properties:
crystal system = orthorhombic
energy of formation = 0.15 eV/atom
space group = Imm2, No. 44

(7)
Compound: Ac2NpCuS5
Source: the Alexandria database
Functional: PBE
Structure: relaxed

Geometry as POSCAR:
```
Ac2NpCuS5
1.0
2.0341 -8.4388 0.0000
2.0341 8.4388 0.0000
0.0000 0.0000 12.3952
Ac Np Cu S
4 2 2 10
direct
0.1172 0.8828 0.5000
0.1207 0.8793 0.1469
0.8793 0.1207 0.6469
0.8828 0.1172 0.0000
0.1811 0.8189 0.8291
0.8189 0.1811 0.3291
0.4485 0.5515 0.2284
0.5515 0.4485 0.7284
0.0219 0.9781 0.8148
0.3022 0.6978 0.4818
0.3124 0.6876 0.1751
0.3446 0.6554 0.8242
0.4943 0.5057 0.5599
0.5057 0.4943 0.0599
0.6554 0.3446 0.3242
0.6876 0.3124 0.6751
0.6978 0.3022 0.9818
0.9781 0.0219 0.3148
```

Computed properties:
formation energy (no corrections) = -158 kJ/mol of atoms
crystal system = orthorhombic
space group = Cmc2_1, No. 36

(8)
Compound: CsLaAu2I6
Source: the Alexandria database
Functional: PBE
Structure: relaxed

Geometry as POSCAR:
```
CsLaAu2I6
1.0
7.7632 0.0000 0.0000
-0.2059 7.7959 0.0000
-1.4524 -1.8163 8.0063
Cs La Au I
1 1 2 6
direct
0.0000 0.0000 0.0000
0.5571 0.5908 0.5765
0.0125 0.4058 0.7093
0.5139 0.9504 0.3025
0.2514 0.2797 0.5416
0.3099 0.6657 0.2477
0.4586 0.8999 0.8292
0.6881 0.2472 0.3233
0.7862 0.4815 0.9069
0.8866 0.7748 0.5176
```

Computed properties:
formation energy (no corrections) = -89 kJ/mol of atoms
crystal system = triclinic
space group = P1, No. 1

(9)
Compound: SnPbSe2Br
Source: the Alexandria database
Functional: PBE
Structure: relaxed

Geometry as POSCAR:
```
SnPbSe2Br
1.0
5.3896 0.0000 0.0000
0.0000 5.3896 0.0000
0.0000 0.0000 5.4062
Sn Pb Se Br
1 1 2 1
direct
0.0000 0.0000 0.0000
0.5000 0.5000 0.5000
0.0000 0.5000 0.0000
0.5000 0.0000 0.0000
0.0000 0.0000 0.5000
```

Computed properties:
formation energy (no corrections) = -14 kJ/mol of atoms
crystal system = tetragonal
space group = P4/mmm, No. 123

(10)
Compound: LiYTm2In4
Source: the Alexandria database
Functional: PBE
Structure: relaxed

Geometry as POSCAR:
```
LiYTm2In4
1.0
2.5861 1.4931 8.6143
-2.5861 1.4931 8.6143
0.0000 -2.9861 8.6143
Li Y Tm In
1 1 2 4
direct
0.0000 0.0000 0.0000
0.5000 0.5000 0.5000
0.2530 0.2530 0.2530
0.7470 0.7470 0.7470
0.1220 0.1220 0.1220
0.3728 0.3728 0.3728
0.6272 0.6272 0.6272
0.8780 0.8780 0.8780
```

Computed properties:
crystal system = trigonal
energy of formation = -0.41 eV/atom
space group = R-3m, No. 166

(11)
Compound: Ga2BiO
Source: the Alexandria database
Functional: PBE
Structure: relaxed

Geometry as POSCAR:
```
Ga2BiO
1.0
-2.7015 2.7015 5.9033
2.7015 -2.7015 5.9033
2.7015 2.7015 -5.9033
Ga Bi O
4 2 2
direct
0.0085 0.6250 0.8835
0.3750 0.2585 0.3835
0.7415 0.1250 0.1165
0.8750 0.9915 0.6165
0.2500 0.7500 0.5000
0.5000 0.5000 0.0000
0.0000 0.0000 0.0000
0.7500 0.2500 0.5000
```

Computed properties:
formation energy (no corrections) = -37 kJ/mol of atoms
crystal system = tetragonal
space group = I-42d, No. 122

Number 1: density of states at the Fermi level 4.742 states/eV per cell, magnetic moment 1.0 μB per formula unit. Number 2: density of states at the Fermi level 5.284 states/eV per cell, magnetic moment 0.0 μB per formula unit. Number 3: density of states at the Fermi level 2.521 states/eV per cell, magnetic moment 0.0 μB per formula unit. Number 4: density of states at the Fermi level 2.892 states/eV per cell, magnetic moment 0.0 μB per formula unit. Number 5: density of states at the Fermi level 6.416 states/eV per cell, magnetic moment 0.0 μB per formula unit. Number 6: density of states at the Fermi level 4.883 states/eV per cell, magnetic moment 1.0 μB per formula unit. Number 7: density of states at the Fermi level 20.152 states/eV per cell, magnetic moment 3.9 μB per formula unit. Number 8: density of states at the Fermi level 0.000 states/eV per cell, magnetic moment 0.0 μB per formula unit. Number 9: density of states at the Fermi level 2.643 states/eV per cell, magnetic moment 0.0 μB per formula unit. Number 10: density of states at the Fermi level 4.062 states/eV per cell, magnetic moment 0.0 μB per formula unit. Number 11: density of states at the Fermi level 1.783 states/eV per cell, magnetic moment 0.0 μB per formula unit.